Density functional theory data (GGA+U) for crystalline Li4CoGeO6 at its relaxed geometry.

Summary:
* uncorrected energy: -5.6260 eV per atom
* density: 4.17 Mg/m³

a b c (Å): 4.988 8.612 5.032
angles (deg): 90.00 109.65 90.00
Space group C2 (No. 5)
Unique sites:
Li (0.000, 0.000, 0.000) [2 per cell]
Li (0.000, 0.158, 0.500) [2 per cell]
Li (0.000, 0.319, 0.000) [2 per cell]
Li (0.000, 0.656, 0.000) [2 per cell]
Co (0.000, 0.490, 0.500) [2 per cell]
Ge (0.000, 0.825, 0.500) [2 per cell]
O (0.221, 0.662, 0.731) [4 per cell]
O (0.240, 0.835, 0.273) [4 per cell]
O (0.250, 0.479, 0.271) [4 per cell]